Dy4Lu3Ni2Te2, optimized geometry, DFT GGA-PBE; crystal system = orthorhombic
1.0
-1.909 7.721 4.749
1.909 -7.721 4.749
1.909 7.721 -4.749
Lu Dy Ni Te
3 4 2 2
direct
0.052 0.418 0.634
0.500 0.000 0.500
0.784 0.418 0.366
0.807 0.623 0.184
0.126 0.271 0.855
0.439 0.623 0.816
0.416 0.271 0.145
0.192 0.930 0.262
0.668 0.930 0.738
0.159 0.659 0.500
0.769 0.769 0.000



DyTm4Lu2Ni2Te2, optimized geometry, DFT GGA-PBE; crystal system = orthorhombic
1.0
-1.907 7.667 4.722
1.907 -7.667 4.722
1.907 7.667 -4.722
Te Ni Tm Lu Dy
2 2 4 2 1
direct
0.339 0.339 0.000
0.733 0.233 0.500
0.306 0.070 0.236
0.834 0.070 0.764
0.691 0.377 0.314
0.062 0.377 0.686
0.717 0.582 0.135
0.447 0.582 0.865
0.376 0.729 0.647
0.082 0.729 0.353
0.001 0.001 0.000



Dy4TmLu2Ni2Te2, optimized geometry, DFT GGA-PBE; crystal system = orthorhombic
1.0
3.968 -8.306 1.219
-3.017 4.598 7.482
-0.699 -5.490 -7.456
Tm Dy Lu Te Ni
1 4 2 2 2
direct
0.000 0.000 0.000
0.083 0.729 0.354
0.375 0.729 0.646
0.448 0.582 0.866
0.716 0.582 0.134
0.694 0.378 0.316
0.063 0.378 0.684
0.737 0.237 0.500
0.337 0.337 0.000
0.832 0.068 0.765
0.303 0.068 0.235



DyTm2Lu4Ni2Te2, optimized geometry, DFT GGA-PBE; crystal system = orthorhombic
1.0
-1.906 7.647 4.711
1.906 -7.647 4.711
1.906 7.647 -4.711
Te Lu Tm Ni Dy
2 4 2 2 1
direct
0.733 0.233 0.500
0.339 0.339 0.000
0.082 0.729 0.353
0.691 0.377 0.314
0.062 0.377 0.686
0.376 0.729 0.647
0.717 0.582 0.135
0.447 0.582 0.865
0.305 0.069 0.236
0.833 0.069 0.764
0.001 0.001 0.000



Dy4TmLu2Ni2Te2, optimized geometry, DFT GGA-PBE; crystal system = orthorhombic
1.0
-1.913 7.748 4.750
1.913 -7.748 4.750
1.913 7.748 -4.750
Dy Ni Lu Te Tm
4 2 2 2 1
direct
0.084 0.729 0.354
0.375 0.729 0.646
0.061 0.377 0.684
0.693 0.377 0.316
0.831 0.070 0.761
0.309 0.070 0.239
0.716 0.582 0.134
0.448 0.582 0.866
0.341 0.341 0.000
0.731 0.231 0.500
0.999 0.999 0.000



Dy3Tm2Lu2Ni2Te2, optimized geometry, DFT GGA-PBE; crystal system = orthorhombic
1.0
-1.912 7.712 4.749
1.912 -7.712 4.749
1.912 7.712 -4.749
Ni Lu Dy Tm Te
2 2 3 2 2
direct
0.335 0.069 0.265
0.804 0.069 0.735
0.563 0.378 0.185
0.193 0.378 0.815
0.216 0.582 0.634
0.947 0.582 0.366
0.500 0.000 0.500
0.582 0.729 0.853
0.876 0.729 0.147
0.836 0.336 0.500
0.236 0.236 0.000



Dy3Tm2Lu2Ni2Te2, optimized geometry, DFT GGA-PBE; crystal system = orthorhombic
1.0
-1.916 7.731 4.726
1.916 -7.731 4.726
1.916 7.731 -4.726
Lu Te Dy Tm Ni
2 2 3 2 2
direct
0.717 0.582 0.135
0.448 0.582 0.865
0.342 0.342 0.000
0.731 0.231 0.500
0.378 0.731 0.647
0.999 0.999 0.000
0.084 0.731 0.353
0.692 0.377 0.316
0.061 0.377 0.684
0.830 0.069 0.761
0.307 0.069 0.239



DyTm4Lu2Ni2Te2, optimized geometry, DFT GGA-PBE; crystal system = orthorhombic
1.0
-1.914 7.688 4.731
1.914 -7.688 4.731
1.914 7.688 -4.731
Tm Lu Te Ni Dy
4 2 2 2 1
direct
0.717 0.582 0.135
0.083 0.729 0.353
0.376 0.729 0.647
0.448 0.582 0.865
0.062 0.377 0.685
0.691 0.377 0.315
0.339 0.339 0.000
0.733 0.233 0.500
0.305 0.069 0.236
0.833 0.069 0.764
0.000 0.000 0.000



DyTm2Lu4Ni2Te2, optimized geometry, DFT GGA-PBE; crystal system = orthorhombic
1.0
-3.913 -7.329 3.937
-1.519 8.272 3.715
-1.316 -6.934 -5.893
Lu Dy Te Tm Ni
4 1 2 2 2
direct
0.691 0.377 0.315
0.717 0.582 0.135
0.062 0.377 0.685
0.447 0.582 0.865
0.000 0.000 0.000
0.340 0.340 0.000
0.732 0.232 0.500
0.083 0.730 0.353
0.377 0.730 0.647
0.832 0.069 0.763
0.306 0.069 0.237



Dy3Tm2Lu2Ni2Te2, optimized geometry, DFT GGA-PBE; crystal system = orthorhombic
1.0
8.244 -0.725 4.109
-1.401 7.048 -5.807
-0.381 -4.517 8.051
Dy Te Tm Lu Ni
3 2 2 2 2
direct
0.001 0.001 0.000
0.448 0.582 0.866
0.716 0.582 0.134
0.338 0.338 0.000
0.734 0.234 0.500
0.692 0.377 0.314
0.063 0.377 0.686
0.376 0.729 0.647
0.082 0.729 0.353
0.305 0.070 0.235
0.834 0.070 0.765



Dy3Tm2Lu2Ni2Te2, optimized geometry, DFT GGA-PBE; crystal system = orthorhombic
1.0
-1.915 7.704 4.741
1.915 -7.704 4.741
1.915 7.704 -4.741
Tm Te Dy Lu Ni
2 2 3 2 2
direct
0.283 0.418 0.866
0.552 0.418 0.134
0.661 0.661 0.000
0.267 0.767 0.500
0.309 0.623 0.686
0.938 0.623 0.314
0.999 0.999 0.000
0.624 0.271 0.354
0.917 0.271 0.646
0.694 0.930 0.764
0.166 0.930 0.236



Dy3Tm2Lu2Ni2Te2, optimized geometry, DFT GGA-PBE; crystal system = orthorhombic
1.0
-7.636 -4.569 2.471
6.124 2.172 6.562
-7.072 1.435 -5.763
Dy Ni Te Lu Tm
3 2 2 2 2
direct
0.500 0.000 0.500
0.438 0.623 0.815
0.809 0.623 0.185
0.667 0.929 0.737
0.192 0.929 0.263
0.160 0.660 0.500
0.770 0.770 0.000
0.053 0.418 0.634
0.784 0.418 0.366
0.416 0.270 0.146
0.124 0.270 0.854



Magnetization in μB per cell, matching the order above: 0.0 0.0 0.0 0.0 0.0 0.0 0.0 0.0 0.0 0.0 0.0 0.0
Electronic total energy in eV/atom, matching the order above: -5.153 -5.133 -5.166 -5.146 -5.153 -5.161 -5.157 -5.140 -5.147 -5.153 -5.145 -5.146
Energy above the most stable polymorph in this dataset in meV per atom, matching the order above: 13.3 7.2 0.0 1.5 12.5 1.7 4.9 0.0 0.0 9.2 17.4 16.3